Entry 1:
The following is a DFT calculation (GGA-PBE) of Ac2SiIrPt6 after structural relaxation.

Summary:
- magnetic moment (μB per formula unit) = 0.000
- formation energy (no corrections) (meV/atom) = -825
- total energy (eV/atom) = -6.699

Cell lengths 5.505, 8.558, 6.568 Å; angles 53.66, 65.22, 90.00 degrees
Element x y z (fractional)
Pt: 0.254 0.388 0.492
Pt: 0.261 0.273 0.978
Ac: 0.733 0.190 0.533
Si: 0.500 0.500 0.000
Pt: 0.739 0.727 0.022
Pt: 0.746 0.612 0.508
Ac: 0.267 0.810 0.467
Pt: 0.239 0.727 0.022
Pt: 0.761 0.273 0.978
Ir: 0.000 0.000 0.000

---

Entry 2:
The following is a DFT calculation (GGA-PBE) of AcSi3IrPt after structural relaxation.

Summary:
- magnetic moment (μB per formula unit) = 0.000
- formation energy (no corrections) (meV/atom) = -651
- total energy (eV/atom) = -6.531

Cell lengths 6.042, 6.358, 7.341 Å; angles 115.66, 90.00, 90.00 degrees
Element x y z (fractional)
Ir: 0.250 0.402 0.805
Ac: 0.250 0.782 0.565
Pt: 0.750 0.939 0.878
Pt: 0.250 0.061 0.122
Ir: 0.750 0.598 0.195
Si: 0.000 0.285 0.000
Si: 0.750 0.767 0.534
Si: 0.500 0.285 0.000
Ac: 0.750 0.218 0.435
Si: 0.500 0.715 0.000
Si: 0.000 0.715 0.000
Si: 0.250 0.233 0.466

---

Entry 3:
The following is a DFT calculation (GGA-PBE) of Ac2Si3IrPt12 after structural relaxation.

Summary:
- magnetic moment (μB per formula unit) = 0.000
- formation energy (no corrections) (meV/atom) = -416
- total energy (eV/atom) = -6.295

Cell lengths 7.991, 7.991, 7.991 Å; angles 61.75, 61.75, 61.75 degrees
Element x y z (fractional)
Pt: 0.880 0.377 0.880
Si: 0.000 0.500 0.000
Si: 0.000 0.000 0.500
Pt: 0.898 0.353 0.353
Pt: 0.623 0.120 0.120
Pt: 0.647 0.102 0.647
Si: 0.500 0.000 0.000
Ac: 0.618 0.618 0.618
Pt: 0.120 0.120 0.623
Pt: 0.647 0.647 0.102
Pt: 0.353 0.353 0.898
Ac: 0.382 0.382 0.382
Ir: 0.000 0.000 0.000
Pt: 0.120 0.623 0.120
Pt: 0.880 0.880 0.377
Pt: 0.102 0.647 0.647
Pt: 0.353 0.898 0.353
Pt: 0.377 0.880 0.880

---

Entry 4:
The following is a DFT calculation (GGA-PBE) of Ac2Sn3Ir4Pt after structural relaxation.

Summary:
- magnetic moment (μB per formula unit) = 0.000
- ΔE_f (eV/f.u.) = -5.268
- total energy (eV/atom) = -6.698

Cell lengths 4.472, 4.472, 11.191 Å; angles 90.00, 90.00, 90.00 degrees
Element x y z (fractional)
Ac: 0.000 0.500 0.745
Ir: 0.000 0.500 0.364
Pt: 0.500 0.500 0.500
Sn: 0.000 0.000 0.500
Ir: 0.500 0.500 0.000
Ac: 0.500 0.000 0.255
Ir: 0.500 0.000 0.636
Sn: 0.000 0.500 0.128
Ir: 0.000 0.000 0.000
Sn: 0.500 0.000 0.872

---

Entry 5:
The following is a DFT calculation (GGA-PBE) of Ac2Sn4IrPt3 after structural relaxation.

Summary:
- magnetic moment (μB per formula unit) = 0.000
- ΔE_f (eV/f.u.) = -8.161
- total energy (eV/atom) = -5.937

Cell lengths 4.690, 4.690, 10.784 Å; angles 90.00, 90.00, 90.00 degrees
Element x y z (fractional)
Pt: 0.500 0.000 0.869
Sn: 0.000 0.500 0.377
Sn: 0.500 0.500 0.000
Ac: 0.500 0.000 0.258
Pt: 0.000 0.500 0.131
Sn: 0.000 0.000 0.000
Pt: 0.000 0.000 0.500
Ac: 0.000 0.500 0.742
Sn: 0.500 0.000 0.623
Ir: 0.500 0.500 0.500

---

Entry 6:
The following is a DFT calculation (GGA-PBE) of Ac2Sn4Ir3Pt after structural relaxation.

Summary:
- magnetic moment (μB per formula unit) = 0.000
- ΔE_f (eV/f.u.) = -6.507
- total energy (eV/atom) = -6.336

Cell lengths 4.635, 4.635, 10.861 Å; angles 90.00, 90.00, 90.00 degrees
Element x y z (fractional)
Ac: 0.500 0.000 0.250
Sn: 0.000 0.000 0.000
Ir: 0.000 0.500 0.130
Sn: 0.000 0.500 0.372
Ir: 0.500 0.000 0.870
Sn: 0.500 0.000 0.628
Ac: 0.000 0.500 0.750
Sn: 0.500 0.500 0.000
Pt: 0.500 0.500 0.500
Ir: 0.000 0.000 0.500

---

Entry 7:
The following is a DFT calculation (GGA-PBE) of Ac2Sn3IrPt4 after structural relaxation.

Summary:
- magnetic moment (μB per formula unit) = 0.000
- ΔE_f (eV/f.u.) = -7.180
- total energy (eV/atom) = -6.043

Cell lengths 4.592, 4.592, 10.940 Å; angles 90.00, 90.00, 90.00 degrees
Element x y z (fractional)
Pt: 0.500 0.000 0.633
Ir: 0.500 0.500 0.500
Sn: 0.000 0.000 0.500
Sn: 0.000 0.500 0.126
Sn: 0.500 0.000 0.874
Pt: 0.000 0.500 0.367
Ac: 0.500 0.000 0.258
Pt: 0.000 0.000 0.000
Ac: 0.000 0.500 0.742
Pt: 0.500 0.500 0.000

---

Entry 8:
The following is a DFT calculation (GGA-PBE) of SrAcIrPt after structural relaxation.

Summary:
- magnetic moment (μB per formula unit) = 0.000
- ΔE_f (eV/f.u.) = -2.230
- total energy (eV/atom) = -5.731

Cell lengths 5.220, 5.220, 5.220 Å; angles 60.00, 60.00, 60.00 degrees
Element x y z (fractional)
Ir: 0.750 0.750 0.750
Ac: 0.000 0.000 0.000
Sr: 0.500 0.500 0.500
Pt: 0.250 0.250 0.250

---

Entry 9:
The following is a DFT calculation (GGA-PBE) of AcTbIrPt after structural relaxation.

Summary:
- magnetic moment (μB per formula unit) = 0.000
- ΔE_f (eV/f.u.) = -3.230
- total energy (eV/atom) = -6.718

Cell lengths 5.113, 5.113, 5.113 Å; angles 60.00, 60.00, 60.00 degrees
Element x y z (fractional)
Pt: 0.000 0.000 0.000
Ir: 0.500 0.500 0.500
Tb: 0.250 0.250 0.250
Ac: 0.750 0.750 0.750

---

Entry 10:
The following is a DFT calculation (GGA-PBE) of Ac6TeIr3Pt2 after structural relaxation.

Summary:
- magnetic moment (μB per formula unit) = 0.000
- formation energy (no corrections) (meV/atom) = -901
- total energy (eV/atom) = -6.439

Cell lengths 4.398, 8.933, 9.922 Å; angles 103.61, 102.80, 90.00 degrees
Element x y z (fractional)
Ac: 0.333 0.411 0.665
Ac: 0.002 0.722 0.005
Pt: 0.833 0.666 0.667
Ac: 0.322 0.917 0.644
Ac: 0.667 0.589 0.335
Ir: 0.500 0.500 0.000
Ac: 0.998 0.278 0.995
Ir: 0.164 0.830 0.327
Pt: 0.167 0.334 0.333
Ir: 0.836 0.170 0.673
Ac: 0.678 0.083 0.356
Te: 0.500 0.000 0.000

---

Entry 11:
The following is a DFT calculation (GGA-PBE) of Ac3TeIrPt after structural relaxation.

Summary:
- magnetic moment (μB per formula unit) = 0.000
- formation energy (no corrections) (meV/atom) = -955
- total energy (eV/atom) = -6.017

Cell lengths 4.449, 8.977, 10.764 Å; angles 115.75, 90.00, 90.00 degrees
Element x y z (fractional)
Te: 0.250 0.279 0.277
Ac: 0.250 0.726 0.470
Ac: 0.750 0.922 0.136
Ac: 0.750 0.274 0.530
Ir: 0.750 0.276 0.828
Te: 0.750 0.721 0.723
Ac: 0.750 0.479 0.139
Pt: 0.250 0.101 0.602
Ir: 0.250 0.724 0.172
Ac: 0.250 0.078 0.864
Pt: 0.750 0.899 0.398
Ac: 0.250 0.521 0.861

---

Entry 12:
The following is a DFT calculation (GGA-PBE) of Ac6Te3IrPt2 after structural relaxation.

Summary:
- magnetic moment (μB per formula unit) = 0.000
- formation energy (no corrections) (meV/atom) = -1284
- total energy (eV/atom) = -5.869

Cell lengths 7.707, 7.707, 8.433 Å; angles 98.78, 98.78, 120.02 degrees
Element x y z (fractional)
Te: 0.500 0.500 0.500
Ac: 0.255 0.255 0.788
Te: 0.832 0.168 0.500
Ac: 0.930 0.604 0.789
Ir: 0.000 0.000 0.000
Ac: 0.396 0.070 0.211
Ac: 0.745 0.745 0.212
Pt: 0.334 0.666 0.000
Pt: 0.666 0.334 0.000
Te: 0.168 0.832 0.500
Ac: 0.604 0.930 0.789
Ac: 0.070 0.396 0.211